Entry 1:
A plane-wave DFT calculation with PBE was carried out for an optimized crystal structure of BaZnClF3.

Properties
formation energy without anion corrections = -15.27 eV/f.u.
SG = C2/c
uncorrected energy = -4.32 eV per atom

```
BaZnClF3
1.0
3.686 -6.368 0.000
3.686 6.368 0.000
-2.090 0.000 5.215
Ba Zn Cl F
2 2 2 6
Direct
0.161 0.839 0.750
0.839 0.161 0.250
0.453 0.547 0.250
0.547 0.453 0.750
0.079 0.921 0.250
0.921 0.079 0.750
0.285 0.419 0.504
0.303 0.697 0.250
0.419 0.285 0.004
0.581 0.715 0.996
0.697 0.303 0.750
0.715 0.581 0.496
```


Entry 2:
A plane-wave DFT calculation with PBE was carried out for an optimized crystal structure of CaNi3.

Properties
SG = R-3m
E_form = 27 kJ/mol of atoms
uncorrected energy = -4.55 eV per atom

```
CaNi3
1.0
4.243 2.449 0.894
-4.243 2.449 0.894
0.000 -4.899 0.894
Ca Ni
1 3
Direct
0.000 0.000 0.000
0.000 0.500 0.500
0.500 0.000 0.500
0.500 0.500 0.000
```


Entry 3:
A plane-wave DFT calculation with PBE was carried out for an optimized crystal structure of HfSc2CdH.

Properties
SG = P4/mmm
uncorrected energy = -5.42 eV per atom

```
HfSc2CdH
1.0
4.457 0.000 0.000
0.000 4.457 0.000
0.000 0.000 4.546
Hf Sc Cd H
1 2 1 1
Direct
0.000 0.000 0.000
0.000 0.500 0.500
0.500 0.000 0.500
0.500 0.500 0.000
0.500 0.500 0.500
```


Entry 4:
A plane-wave DFT calculation with PBE was carried out for an optimized crystal structure of Fe2GeOs.

Properties
SG = P4/mmm
E_form = 10 kJ/mol of atoms
uncorrected energy = -8.09 eV per atom

```
Fe2GeOs
1.0
2.715 0.000 0.000
0.000 2.715 0.000
0.000 0.000 6.585
Fe Ge Os
2 1 1
Direct
0.000 0.000 0.234
0.000 0.000 0.766
0.500 0.500 0.000
0.500 0.500 0.500
```


Entry 5:
A plane-wave DFT calculation with PBE was carried out for an optimized crystal structure of LaTb6Sc2.

Properties
SG = C2/c
E_form = 11 kJ/mol of atoms
uncorrected energy = -4.93 eV per atom

```
LaTb6Sc2
1.0
6.085 -7.292 0.000
6.085 7.292 0.000
-1.372 0.000 6.314
La Tb Sc
2 12 4
Direct
0.093 0.907 0.750
0.907 0.093 0.250
0.053 0.262 0.809
0.087 0.441 0.314
0.262 0.053 0.309
0.262 0.638 0.980
0.362 0.738 0.520
0.441 0.087 0.814
0.559 0.913 0.186
0.638 0.262 0.480
0.738 0.362 0.020
0.738 0.947 0.691
0.913 0.559 0.686
0.947 0.738 0.191
0.360 0.386 0.640
0.386 0.360 0.140
0.614 0.640 0.860
0.640 0.614 0.360
```


Entry 6:
A plane-wave DFT calculation with PBE was carried out for an optimized crystal structure of Mn2CrPt.

Properties
SG = I4/mmm
E_form = -18 kJ/mol of atoms
uncorrected energy = -8.69 eV per atom

```
Mn2CrPt
1.0
-1.972 1.972 3.606
1.972 -1.972 3.606
1.972 1.972 -3.606
Mn Cr Pt
2 1 1
Direct
0.250 0.750 0.500
0.750 0.250 0.500
0.000 0.000 0.000
0.500 0.500 0.000
```


Entry 7:
A plane-wave DFT calculation with PBE was carried out for an optimized crystal structure of Tb8Nd2Sc.

Properties
SG = C2/m
E_form = 3 kJ/mol of atoms
uncorrected energy = -4.78 eV per atom

```
Tb8Nd2Sc
1.0
9.065 -2.514 0.000
9.065 2.514 0.000
-2.108 0.000 7.678
Tb Nd Sc
8 2 1
Direct
0.044 0.044 0.230
0.133 0.133 0.675
0.320 0.320 0.591
0.411 0.411 0.052
0.589 0.589 0.948
0.680 0.680 0.409
0.867 0.867 0.325
0.956 0.956 0.770
0.226 0.226 0.137
0.774 0.774 0.863
0.500 0.500 0.500
```


Entry 8:
A plane-wave DFT calculation with PBE was carried out for an optimized crystal structure of RePb2Cl.

Properties
formation energy without anion corrections = 2.03 eV/f.u.
SG = R3m
uncorrected energy = -4.92 eV per atom

```
RePb2Cl
1.0
1.631 0.942 10.851
-1.631 0.942 10.851
0.000 -1.884 10.851
Re Pb Cl
1 2 1
Direct
0.000 0.000 0.000
0.511 0.511 0.511
0.739 0.739 0.739
0.286 0.286 0.286
```


Entry 9:
A plane-wave DFT calculation with PBE was carried out for an optimized crystal structure of Rb3Ge2O6.

Properties
formation energy without anion corrections = -15.20 eV/f.u.
SG = I4/mmm
uncorrected energy = -5.19 eV per atom

```
Rb3Ge2O6
1.0
-1.843 1.843 13.366
1.843 -1.843 13.366
1.843 1.843 -13.366
Rb Ge O
3 2 6
Direct
0.000 0.000 0.000
0.199 0.199 0.000
0.801 0.801 0.000
0.392 0.392 0.000
0.608 0.608 0.000
0.085 0.585 0.500
0.327 0.327 0.000
0.415 0.915 0.500
0.585 0.085 0.500
0.673 0.673 0.000
0.915 0.415 0.500
```


Entry 10:
A plane-wave DFT calculation with PBE was carried out for an optimized crystal structure of TbPm2ScSb4.

Properties
formation energy without anion corrections = -8.78 eV/f.u.
SG = P2/m
uncorrected energy = -5.72 eV per atom

```
TbPm2ScSb4
1.0
7.600 0.000 0.000
0.000 4.399 0.000
-2.544 0.000 7.175
Tb Pm Sc Sb
1 2 1 4
Direct
0.000 0.000 0.000
0.500 0.000 0.500
0.500 0.500 0.000
0.000 0.500 0.500
0.234 0.000 0.738
0.239 0.500 0.253
0.761 0.500 0.747
0.766 0.000 0.262
```


Entry 11:
A plane-wave DFT calculation with PBE was carried out for an optimized crystal structure of ThScCo4.

Properties
SG = F-43m
E_form = -25 kJ/mol of atoms
uncorrected energy = -7.28 eV per atom

```
ThScCo4
1.0
0.000 3.526 3.526
3.526 0.000 3.526
3.526 3.526 0.000
Th Sc Co
1 1 4
Direct
0.000 0.000 0.000
0.250 0.250 0.250
0.129 0.624 0.624
0.624 0.129 0.624
0.624 0.624 0.129
0.624 0.624 0.624
```


Entry 12:
A plane-wave DFT calculation with PBE was carried out for an optimized crystal structure of CsCd5Hg7.

Properties
SG = Imm2
E_form = -6 kJ/mol of atoms
uncorrected energy = -0.64 eV per atom

```
CsCd5Hg7
1.0
-3.072 5.537 5.320
3.072 -5.537 5.320
3.072 5.537 -5.320
Cs Cd Hg
1 5 7
Direct
0.000 0.000 0.000
0.496 0.496 0.501
0.496 0.995 0.000
0.749 0.249 0.500
0.995 0.496 0.000
0.995 0.995 0.499
0.198 0.493 0.705
0.226 0.726 0.500
0.342 0.995 0.347
0.359 0.359 0.000
0.648 0.995 0.653
0.651 0.651 0.000
0.789 0.493 0.295
```